The following is a DFT calculation (PBE) of a relaxed structure of Tb12Nd7In.

Computed properties:
- ΔH_f (0 K): 0.166 eV per atom
- M_tot: 0.000 μB per formula unit

Geometry as CIF:
```
data_Tb12Nd7In
_chemical_formula_sum 'Tb36 Nd21 In3'
_cell_length_a 12.3437
_cell_length_b 12.3437
_cell_length_c 15.4782
_cell_angle_alpha 90.00
_cell_angle_beta 90.00
_cell_angle_gamma 120.00
_symmetry_space_group_name_H-M 'R -3'
_symmetry_Int_Tables_number 148
_symmetry_space_group_name_Hall '-R 3'
loop_
_atom_site_label
_atom_site_type_symbol
_atom_site_fract_x
_atom_site_fract_y
_atom_site_fract_z
_atom_site_occupancy
Tb1 Tb 0.0323 0.1863 0.3092 1
Tb2 Tb 0.0701 0.8116 0.9245 1
Nd1 Nd 0.0000 0.0000 0.5000 1
Nd2 Nd 0.0105 0.4330 0.2017 1
In1 In 0.0000 0.0000 0.0000 1
```

The following is a DFT calculation (PBE) of a relaxed structure of CaCuPb.

Computed properties:
- ΔH_f (0 K): -0.209 eV per atom
- M_tot: 0.000 μB per formula unit

Geometry as CIF:
```
data_CaCuPb
_chemical_formula_sum 'Ca4 Cu4 Pb4'
_cell_length_a 6.173
_cell_length_b 6.242
_cell_length_c 8.573
_cell_angle_alpha 90.00
_cell_angle_beta 113.62
_cell_angle_gamma 90.00
_symmetry_space_group_name_H-M 'P 1 21/c 1'
_symmetry_Int_Tables_number 14
loop_
_symmetry_equiv_pos_as_xyz
'x,y,z'
'-x,-y,-z'
'-x,y+1/2,-z+1/2'
'x,-y+1/2,z+1/2'
loop_
_atom_site_label
_atom_site_type_symbol
_atom_site_fract_x
_atom_site_fract_y
_atom_site_fract_z
_atom_site_occupancy
Ca1 Ca 0.206 0.135 0.375 1
Cu1 Cu 0.389 0.587 0.262 1
Pb1 Pb 0.233 0.628 0.516 1
```

The following is a DFT calculation (PBE) of a relaxed structure of VOs2C.

Computed properties:
- ΔH_f (0 K): 0.788 eV per atom
- M_tot: 0.000 μB per formula unit

Geometry as CIF:
```
data_VOs2C
_chemical_formula_sum 'V4 Os8 C4'
_cell_length_a 5.202
_cell_length_b 5.202
_cell_length_c 9.188
_cell_angle_alpha 90.00
_cell_angle_beta 90.00
_cell_angle_gamma 90.00
_symmetry_space_group_name_H-M 'I -4 2 d'
_symmetry_Int_Tables_number 122
_symmetry_space_group_name_Hall 'I -4 2bw'
loop_
_atom_site_label
_atom_site_type_symbol
_atom_site_fract_x
_atom_site_fract_y
_atom_site_fract_z
_atom_site_occupancy
V1 V 0.000 0.000 0.000 1
Os1 Os 0.177 0.250 0.625 1
C1 C 0.000 0.000 0.500 1
```

no.,total DFT energy (no corrections) (eV per cell)
1,-265.06
2,-41.73
3,-150.60